[1]
This record from Alexandria describes an optimized crystal structure of Ac3As5Se12. The functional is PBE-GGA.

```
80
Lattice="-8.404 8.404 8.404 8.404 -8.404 8.404 8.404 8.404 -8.404" Properties=species:S:1:pos:R:3 pbc="T T T"
Ac 4.202 2.101 0.000
Ac 8.404 4.202 -2.101
Ac 2.101 0.000 4.202
Ac 10.505 0.000 4.202
Ac 0.000 4.202 2.101
Ac 4.202 -2.101 8.404
Ac 4.202 10.505 0.000
Ac 8.404 4.202 6.303
Ac -2.101 8.404 4.202
Ac 6.303 8.404 4.202
Ac 0.000 4.202 10.505
Ac 4.202 6.303 8.404
As 0.000 0.000 0.000
As 4.202 4.202 -4.202
As 4.202 -4.202 4.202
As 8.404 0.000 0.000
As 12.606 2.101 0.000
As 8.404 -4.202 6.303
As 6.303 8.404 -4.202
As 6.303 0.000 4.202
As 4.202 6.303 0.000
As 8.404 4.202 2.101
As -4.202 4.202 4.202
As 0.000 8.404 0.000
As 0.000 0.000 8.404
As 4.202 4.202 4.202
As 0.000 4.202 6.303
As 4.202 2.101 8.404
As 2.101 8.404 4.202
As 2.101 0.000 12.606
As 0.000 12.606 2.101
As -4.202 6.303 8.404
Se 2.489 -0.432 0.980
Se 10.118 5.182 -4.634
Se 10.893 0.432 0.980
Se 10.118 -3.222 4.634
Se 7.972 -0.980 2.489
Se 13.039 -1.713 3.222
Se 0.980 2.489 -0.432
Se 11.627 3.770 -1.713
Se 5.182 4.634 -1.713
Se 7.425 2.489 0.432
Se -0.432 0.980 2.489
Se 4.634 -1.713 5.182
Se 7.972 7.425 -2.489
Se 4.634 1.713 3.222
Se 5.182 -4.634 10.118
Se 7.425 -2.489 7.972
Se 3.222 4.634 1.713
Se 9.384 5.915 0.432
Se 4.634 10.118 -3.222
Se 7.972 0.980 5.915
Se 2.489 7.972 -0.980
Se 10.118 3.222 3.770
Se 1.713 3.222 4.634
Se 2.489 0.432 7.425
Se 5.915 7.972 0.980
Se 6.691 5.182 3.770
Se -1.713 5.182 4.634
Se 5.915 0.432 9.384
Se 0.432 7.425 2.489
Se 3.770 -1.713 11.627
Se -0.980 2.489 7.972
Se 5.182 3.770 6.691
Se 0.980 10.893 0.432
Se 3.222 13.039 -1.713
Se 3.770 6.691 5.182
Se 0.432 0.980 10.893
Se 3.770 10.118 3.222
Se 8.837 7.425 5.915
Se 0.980 5.915 7.972
Se 3.222 3.770 10.118
Se -3.222 4.634 10.118
Se 7.425 5.915 8.837
Se -4.634 10.118 5.182
Se 0.432 9.384 5.915
Se -1.713 11.627 3.770
Se -2.489 7.972 7.425
Se -1.713 3.222 13.039
Se 5.915 8.837 7.425
```

Calculated values
M_tot: 0.000 μB/atom
formation energy (no corrections): -0.76 eV per atom
total DFT energy (no corrections): -0.170 Ha/atom

***

[2]
This record from Alexandria describes an optimized crystal structure of ScHgI2N. The functional is PBE-GGA.

```
5
Lattice="6.247 0.000 0.000 0.000 6.247 0.000 0.000 0.000 3.963" Properties=species:S:1:pos:R:3 pbc="T T T"
Sc 0.000 0.000 0.000
Hg 3.124 3.124 1.981
I 0.000 3.124 1.981
I 3.124 0.000 1.981
N 3.124 3.124 0.000
```

Calculated values
M_tot: 0.270 μB/atom
formation energy (no corrections): 0.75 eV per atom
energy above the most stable polymorph in this dataset: 901 meV per atom
total DFT energy (no corrections): -0.105 Ha/atom

***

Repeat the first record exactly.
This record from Alexandria describes an optimized crystal structure of Ac3As5Se12. The functional is PBE-GGA.

```
80
Lattice="-8.404 8.404 8.404 8.404 -8.404 8.404 8.404 8.404 -8.404" Properties=species:S:1:pos:R:3 pbc="T T T"
Ac 4.202 2.101 0.000
Ac 8.404 4.202 -2.101
Ac 2.101 0.000 4.202
Ac 10.505 0.000 4.202
Ac 0.000 4.202 2.101
Ac 4.202 -2.101 8.404
Ac 4.202 10.505 0.000
Ac 8.404 4.202 6.303
Ac -2.101 8.404 4.202
Ac 6.303 8.404 4.202
Ac 0.000 4.202 10.505
Ac 4.202 6.303 8.404
As 0.000 0.000 0.000
As 4.202 4.202 -4.202
As 4.202 -4.202 4.202
As 8.404 0.000 0.000
As 12.606 2.101 0.000
As 8.404 -4.202 6.303
As 6.303 8.404 -4.202
As 6.303 0.000 4.202
As 4.202 6.303 0.000
As 8.404 4.202 2.101
As -4.202 4.202 4.202
As 0.000 8.404 0.000
As 0.000 0.000 8.404
As 4.202 4.202 4.202
As 0.000 4.202 6.303
As 4.202 2.101 8.404
As 2.101 8.404 4.202
As 2.101 0.000 12.606
As 0.000 12.606 2.101
As -4.202 6.303 8.404
Se 2.489 -0.432 0.980
Se 10.118 5.182 -4.634
Se 10.893 0.432 0.980
Se 10.118 -3.222 4.634
Se 7.972 -0.980 2.489
Se 13.039 -1.713 3.222
Se 0.980 2.489 -0.432
Se 11.627 3.770 -1.713
Se 5.182 4.634 -1.713
Se 7.425 2.489 0.432
Se -0.432 0.980 2.489
Se 4.634 -1.713 5.182
Se 7.972 7.425 -2.489
Se 4.634 1.713 3.222
Se 5.182 -4.634 10.118
Se 7.425 -2.489 7.972
Se 3.222 4.634 1.713
Se 9.384 5.915 0.432
Se 4.634 10.118 -3.222
Se 7.972 0.980 5.915
Se 2.489 7.972 -0.980
Se 10.118 3.222 3.770
Se 1.713 3.222 4.634
Se 2.489 0.432 7.425
Se 5.915 7.972 0.980
Se 6.691 5.182 3.770
Se -1.713 5.182 4.634
Se 5.915 0.432 9.384
Se 0.432 7.425 2.489
Se 3.770 -1.713 11.627
Se -0.980 2.489 7.972
Se 5.182 3.770 6.691
Se 0.980 10.893 0.432
Se 3.222 13.039 -1.713
Se 3.770 6.691 5.182
Se 0.432 0.980 10.893
Se 3.770 10.118 3.222
Se 8.837 7.425 5.915
Se 0.980 5.915 7.972
Se 3.222 3.770 10.118
Se -3.222 4.634 10.118
Se 7.425 5.915 8.837
Se -4.634 10.118 5.182
Se 0.432 9.384 5.915
Se -1.713 11.627 3.770
Se -2.489 7.972 7.425
Se -1.713 3.222 13.039
Se 5.915 8.837 7.425
```

Calculated values
M_tot: 0.000 μB/atom
formation energy (no corrections): -0.76 eV per atom
total DFT energy (no corrections): -0.170 Ha/atom